Entry 1:
A plane-wave DFT calculation with GGA-PBE was carried out for a relaxed La3Sm8Er crystal.

Results
The space group is No. 71. The value obtained for the formation energy is 0.266 eV per atom.

The structure in POSCAR format:
```
La3Sm8Er
1.0
-3.304 5.766 5.821
3.304 -5.766 5.821
3.304 5.766 -5.821
La Sm Er
3 8 1
direct
0.000 0.000 0.000
0.255 0.755 0.500
0.745 0.245 0.500
0.084 0.252 0.832
0.259 0.244 0.503
0.259 0.756 0.015
0.419 0.252 0.168
0.581 0.748 0.832
0.741 0.244 0.985
0.741 0.756 0.497
0.916 0.748 0.168
0.500 0.500 0.000
```


Entry 2:
A plane-wave DFT calculation with GGA-PBE was carried out for a relaxed CaSc2Mn crystal.

Results
The space group is No. 12. The value obtained for the formation energy is 0.422 eV per atom. For the energy above the most stable polymorph in this dataset, the calculation gives 309 meV/atom.

The structure in POSCAR format:
```
CaSc2Mn
1.0
3.141 -5.349 0.000
3.141 5.349 0.000
-1.325 0.000 2.930
Ca Sc Mn
1 2 1
direct
0.000 0.000 0.000
0.000 0.500 0.500
0.500 0.000 0.500
0.500 0.500 0.000
```